Record 1
VASP calculation (PBE-GGA) on a geometry-optimized Li2MoOs structure.

Structure (POSCAR):
```
Li2MoOs
1.0
2.691 0.000 0.000
0.000 4.042 0.000
0.000 0.000 5.651
Li Mo Os
2 1 1
Cartesian
0.000 0.000 0.000
1.345 2.021 1.227
0.000 0.000 2.989
1.345 2.021 3.981
```

Results
- V (Å³/cell) = 61.5
- final energy (eV/cell) = -24.78
- energy relative to the elements (eV per formula unit) = 1.11
- symmetry = Pmm2, No. 25

=====

Record 2
VASP calculation (PBE-GGA) on a geometry-optimized Ho7Er4Sc structure.

Structure (POSCAR):
```
Ho7Er4Sc
1.0
6.380 0.000 0.000
0.953 6.619 0.000
2.114 0.358 8.702
Ho Er Sc
7 4 1
Cartesian
0.000 0.000 0.000
2.598 4.153 3.334
3.580 1.532 5.544
3.986 4.949 0.426
5.462 2.027 8.276
5.867 5.445 3.158
6.849 2.824 5.368
1.815 0.881 2.691
4.397 4.806 6.261
5.051 2.170 2.441
7.632 6.095 6.011
0.476 3.310 0.000
```

Results
- V (Å³/cell) = 367.5
- final energy (eV/cell) = -55.40
- energy relative to the elements (eV per formula unit) = 1.23
- symmetry = P-1, No. 2

=====

Record 3
VASP calculation (PBE-GGA) on a geometry-optimized CaHoIrPt structure.

Structure (POSCAR):
```
CaHoIrPt
1.0
6.880 0.000 0.000
0.000 6.880 0.000
0.000 0.000 6.880
Ca Ho Ir Pt
4 4 4 4
Cartesian
0.000 0.000 0.000
0.000 3.440 3.440
3.440 0.000 3.440
3.440 3.440 0.000
0.000 0.000 3.440
0.000 3.440 0.000
3.440 0.000 0.000
3.440 3.440 3.440
1.720 1.720 5.160
1.720 5.160 1.720
5.160 1.720 1.720
5.160 5.160 5.160
1.720 1.720 1.720
1.720 5.160 5.160
5.160 1.720 5.160
5.160 5.160 1.720
```

Results
- V (Å³/cell) = 325.7
- final energy (eV/cell) = -98.53
- energy relative to the elements (eV per formula unit) = -3.15
- symmetry = F-43m, No. 216

=====

Record 4
VASP calculation (PBE-GGA) on a geometry-optimized Y4NiSb structure.

Structure (POSCAR):
```
Y4NiSb
1.0
6.102 0.000 0.000
0.000 6.597 0.000
-2.871 0.000 8.049
Y Ni Sb
8 2 2
Cartesian
-0.540 0.004 1.668
-0.540 3.295 1.668
0.667 1.649 4.971
2.425 1.649 0.749
0.806 4.948 7.300
2.564 4.948 3.077
3.771 3.302 6.380
3.771 6.593 6.380
1.365 4.948 0.545
1.866 1.649 7.504
-0.329 4.948 4.397
3.560 1.649 3.651
```

Results
- E_form (uncorrected) (eV per atom) = -0.521
- V (Å³/cell) = 324.0
- final energy (eV/cell) = -77.77
- symmetry = P2_1/m, No. 11